# 1
Computed, not measured: a geometry-optimized YReRu4 structure at the GGA-PBE level of DFT.

a b c (Å): 5.171 5.171 5.171
angles (deg): 60.00 60.00 60.00
Sites, in units of the cell vectors:
Y 0.000 0.000 0.000
Re 0.750 0.750 0.750
Ru 0.375 0.375 0.375
Ru 0.375 0.375 0.875
Ru 0.375 0.875 0.375
Ru 0.875 0.375 0.375

Properties
Spin magnetization: 0.0 Bohr magnetons per cell
Symmetry: F-43m
Mass density: 11.54 Mg/m³
N(E_F): 8.544 states/eV per cell
Formation energy: 231 meV per atom
V: 16.3 Å³/atom

=====

# 2
Computed, not measured: a geometry-optimized YRe3Ru structure at the GGA-PBE level of DFT.

a b c (Å): 4.684 4.684 4.684
angles (deg): 90.00 90.00 90.00
Sites, in units of the cell vectors:
Y 0.000 0.000 0.000
Re 0.000 0.000 0.500
Re 0.000 0.500 0.000
Re 0.500 0.000 0.000
Ru 0.500 0.500 0.500

Properties
Spin magnetization: 0.0 Bohr magnetons per cell
Symmetry: Pm-3m
Mass density: 12.10 Mg/m³
N(E_F): 9.556 states/eV per cell
Formation energy: 3365 meV per atom
Relative energy among the computed polymorphs: 188.4 kJ per mole of atoms
V: 20.5 Å³/atom